DFT (PBE) results for an optimized crystal structure of ZnP2Os.

Cell and atoms, written as CIF:
```
data_ZnP2Os
_chemical_formula_sum 'Zn2 P4 Os2'
_symmetry_space_group_name_H-M 'C 1 2/m 1'
_symmetry_Int_Tables_number 12
_cell_length_a 7.078
_cell_length_b 2.969
_cell_length_c 7.228
_cell_angle_alpha 90.00
_cell_angle_beta 105.90
_cell_angle_gamma 90.00
loop_
_symmetry_equiv_pos_as_xyz
'x,y,z'
'-x,-y,-z'
'-x,y,-z'
'x,-y,z'
'x+1/2,y+1/2,z'
'-x+1/2,-y+1/2,-z'
'-x+1/2,y+1/2,-z'
'x+1/2,-y+1/2,z'
loop_
_atom_site_label
_atom_site_type_symbol
_atom_site_fract_x
_atom_site_fract_y
_atom_site_fract_z
_atom_site_occupancy
Zn1 Zn 0.000 0.000 0.000 1
P1 P 0.158 0.000 0.326 1
Os1 Os 0.000 0.500 0.500 1
```

Summary:
As for the magnetization: 0.000 μB per cell. The crystal system is monoclinic. The value obtained for the density of states at the Fermi level is 0.91 states/eV/f.u. The calculation puts the energy of formation at 4 meV/atom.


DFT (PBE) results for an optimized crystal structure of PmTm8.

Cell and atoms, written as CIF:
```
data_PmTm8
_chemical_formula_sum 'Pm2 Tm16'
_symmetry_space_group_name_H-M 'I 4/m m m'
_symmetry_Int_Tables_number 139
_symmetry_space_group_name_Hall '-I 4 2'
_cell_length_a 10.526
_cell_length_b 10.526
_cell_length_c 4.947
_cell_angle_alpha 90.00
_cell_angle_beta 90.00
_cell_angle_gamma 90.00
loop_
_atom_site_label
_atom_site_type_symbol
_atom_site_fract_x
_atom_site_fract_y
_atom_site_fract_z
_atom_site_occupancy
Pm1 Pm 0.000 0.000 0.000 1
Tm1 Tm 0.000 0.334 0.000 1
Tm2 Tm 0.168 0.168 0.500 1
```

Summary:
As for the magnetization: 0.000 μB per cell. The crystal system is tetragonal. The value obtained for the density of states at the Fermi level is 12.58 states/eV/f.u. The calculation puts the energy of formation at 27 meV/atom.


DFT (PBE) results for an optimized crystal structure of Be2NbCo2.

Cell and atoms, written as CIF:
```
data_Be2NbCo2
_chemical_formula_sum 'Be4 Nb2 Co4'
_symmetry_space_group_name_H-M 'P 4/m b m'
_symmetry_Int_Tables_number 127
_symmetry_space_group_name_Hall '-P 4 2ab'
_cell_length_a 6.456
_cell_length_b 6.456
_cell_length_c 2.604
_cell_angle_alpha 90.00
_cell_angle_beta 90.00
_cell_angle_gamma 90.00
loop_
_atom_site_label
_atom_site_type_symbol
_atom_site_fract_x
_atom_site_fract_y
_atom_site_fract_z
_atom_site_occupancy
Be1 Be 0.116 0.384 0.000 1
Nb1 Nb 0.000 0.000 0.000 1
Co1 Co 0.175 0.675 0.500 1
```

Summary:
For the polymorph energy (0 for the lowest one), the calculation gives 0 meV per atom. As for the magnetization: 0.000 μB per cell. The crystal system is tetragonal. The value obtained for the density of states at the Fermi level is 2.70 states/eV/f.u. The calculation puts the energy of formation at -200 meV/atom.


DFT (PBE) results for an optimized crystal structure of ZnIr2Pd.

Cell and atoms, written as CIF:
```
data_ZnIr2Pd
_chemical_formula_sum 'Zn4 Ir8 Pd4'
_symmetry_space_group_name_H-M 'I -4 2 d'
_symmetry_Int_Tables_number 122
_symmetry_space_group_name_Hall 'I -4 2bw'
_cell_length_a 3.687
_cell_length_b 3.687
_cell_length_c 18.772
_cell_angle_alpha 90.00
_cell_angle_beta 90.00
_cell_angle_gamma 90.00
loop_
_atom_site_label
_atom_site_type_symbol
_atom_site_fract_x
_atom_site_fract_y
_atom_site_fract_z
_atom_site_occupancy
Zn1 Zn 0.000 0.000 0.000 1
Ir1 Ir 0.249 0.250 0.125 1
Pd1 Pd 0.000 0.000 0.500 1
```

Summary:
As for the magnetization: 0.000 μB per cell. The crystal system is tetragonal. The value obtained for the density of states at the Fermi level is 4.62 states/eV/f.u. The calculation puts the energy of formation at 343 meV/atom.


DFT (PBE) results for an optimized crystal structure of Na2PrSn3Se6.

Cell and atoms, written as CIF:
```
data_Na2PrSn3Se6
_chemical_formula_sum 'Na4 Pr2 Sn6 Se12'
_symmetry_space_group_name_H-M 'C 1 2/m 1'
_symmetry_Int_Tables_number 12
_cell_length_a 7.321
_cell_length_b 12.664
_cell_length_c 7.517
_cell_angle_alpha 90.00
_cell_angle_beta 108.85
_cell_angle_gamma 90.00
loop_
_symmetry_equiv_pos_as_xyz
'x,y,z'
'-x,-y,-z'
'-x,y,-z'
'x,-y,z'
'x+1/2,y+1/2,z'
'-x+1/2,-y+1/2,-z'
'-x+1/2,y+1/2,-z'
'x+1/2,-y+1/2,z'
loop_
_atom_site_label
_atom_site_type_symbol
_atom_site_fract_x
_atom_site_fract_y
_atom_site_fract_z
_atom_site_occupancy
Na1 Na 0.000 0.167 0.000 1
Pr1 Pr 0.000 0.500 0.000 1
Sn1 Sn 0.000 0.000 0.500 1
Sn2 Sn 0.000 0.336 0.500 1
Se1 Se 0.237 0.500 0.740 1
Se2 Se 0.247 0.339 0.252 1
```

Summary:
The calculation puts the uncorrected formation energy at -10.8 eV/f.u. As for the magnetization: 0.000 μB per cell. The crystal system is monoclinic. The value obtained for the density of states at the Fermi level is 5.22 states/eV/f.u.


DFT (PBE) results for an optimized crystal structure of Ag2HgF2.

Cell and atoms, written as CIF:
```
data_Ag2HgF2
_chemical_formula_sum 'Ag4 Hg2 F4'
_symmetry_space_group_name_H-M 'P -1'
_symmetry_Int_Tables_number 2
_cell_length_a 4.669
_cell_length_b 5.560
_cell_length_c 8.236
_cell_angle_alpha 72.03
_cell_angle_beta 84.72
_cell_angle_gamma 71.43
loop_
_symmetry_equiv_pos_as_xyz
'x,y,z'
'-x,-y,-z'
loop_
_atom_site_label
_atom_site_type_symbol
_atom_site_fract_x
_atom_site_fract_y
_atom_site_fract_z
_atom_site_occupancy
Ag1 Ag 0.059 0.243 0.228 1
Ag2 Ag 0.371 0.778 0.093 1
Hg1 Hg 0.174 0.709 0.437 1
F1 F 0.110 0.277 0.910 1
F2 F 0.451 0.728 0.800 1
```

Summary:
The calculation puts the uncorrected formation energy at -4.0 eV/f.u. For the polymorph energy (0 for the lowest one), the calculation gives 0 meV per atom. As for the magnetization: 0.000 μB per cell. The crystal system is triclinic.


DFT (PBE) results for an optimized crystal structure of LaGaC2Se.

Cell and atoms, written as CIF:
```
data_LaGaC2Se
_chemical_formula_sum 'La1 Ga1 C2 Se1'
_symmetry_space_group_name_H-M 'P 4/m m m'
_symmetry_Int_Tables_number 123
_symmetry_space_group_name_Hall '-P 4 2'
_cell_length_a 4.695
_cell_length_b 4.695
_cell_length_c 6.015
_cell_angle_alpha 90.00
_cell_angle_beta 90.00
_cell_angle_gamma 90.00
loop_
_atom_site_label
_atom_site_type_symbol
_atom_site_fract_x
_atom_site_fract_y
_atom_site_fract_z
_atom_site_occupancy
La1 La 0.000 0.000 0.000 1
Ga1 Ga 0.500 0.500 0.500 1
C1 C 0.000 0.500 0.000 1
Se1 Se 0.000 0.000 0.500 1
```

Summary:
The calculation puts the uncorrected formation energy at 8.3 eV/f.u. As for the magnetization: 2.522 μB per cell. The crystal system is tetragonal. The value obtained for the density of states at the Fermi level is 2.88 states/eV/f.u.


DFT (PBE) results for an optimized crystal structure of Ca3NbO6.

Cell and atoms, written as CIF:
```
data_Ca3NbO6
_chemical_formula_sum 'Ca6 Nb2 O12'
_symmetry_space_group_name_H-M 'P 1 21/c 1'
_symmetry_Int_Tables_number 14
_cell_length_a 5.680
_cell_length_b 5.952
_cell_length_c 9.864
_cell_angle_alpha 90.00
_cell_angle_beta 124.72
_cell_angle_gamma 90.00
loop_
_symmetry_equiv_pos_as_xyz
'x,y,z'
'-x,-y,-z'
'-x,y+1/2,-z+1/2'
'x,-y+1/2,z+1/2'
loop_
_atom_site_label
_atom_site_type_symbol
_atom_site_fract_x
_atom_site_fract_y
_atom_site_fract_z
_atom_site_occupancy
Ca1 Ca 0.000 0.000 0.000 1
Ca2 Ca 0.218 0.059 0.741 1
Nb1 Nb 0.500 0.000 0.500 1
O1 O 0.158 0.185 0.441 1
O2 O 0.240 0.724 0.418 1
O3 O 0.404 0.063 0.273 1
```

Summary:
The calculation puts the uncorrected formation energy at -27.0 eV/f.u. As for the magnetization: 2.167 μB per cell. The crystal system is monoclinic. The value obtained for the density of states at the Fermi level is 6.91 states/eV/f.u.